[1]
Pm2PrNd4Sm after structural relaxation, computed with PBE-GGA.

Energy of formation from the pure elements ... 15 meV per atom
Crystal system ... monoclinic
Space group ... P2/m (10)

Lattice parameters (Å, degrees): 3.676 6.352 12.201 79.72 90.00 90.00
Fractional positions:
Pm  0.000  0.000  0.000
Pm  0.500  0.000  0.500
Pr  0.500  0.500  0.000
Nd  0.000  0.751  0.749
Nd  0.000  0.249  0.251
Nd  0.500  0.750  0.251
Nd  0.500  0.250  0.749
Sm  0.000  0.500  0.500



[2]
MgIrRh2 after structural relaxation, computed with PBE-GGA.

Energy of formation from the pure elements ... 21 meV per atom
Crystal system ... cubic
Space group ... F-43m (216)

Lattice parameters (Å, degrees): 4.388 4.388 4.388 60.00 60.00 60.00
Site moments in Bohr magnetons follow the coordinates.
Fractional positions:
Mg  0.750  0.750  0.750  0.00
Ir  0.500  0.500  0.500  0.44
Rh  0.000  0.000  0.000  0.33
Rh  0.250  0.250  0.250  0.40



[3]
YScOF2 after structural relaxation, computed with PBE-GGA.

Crystal system ... tetragonal
Space group ... P4/mmm (123)
Energy relative to the lowest polymorph listed for this composition ... 0 meV/atom
E_form (uncorrected) ... -2.61 eV/atom

Lattice parameters (Å, degrees): 4.245 4.245 4.123 90.00 90.00 90.00
Site moments in Bohr magnetons follow the coordinates.
Fractional positions:
Y  0.500  0.500  0.500  0.77
Sc  0.000  0.000  0.000  0.30
O  0.000  0.000  0.500  -0.02
F  0.000  0.500  0.000  0.03
F  0.500  0.000  0.000  0.03



[4]
In2TePd6 after structural relaxation, computed with PBE-GGA.

Crystal system ... hexagonal
Space group ... P-62m (189)
E_form (uncorrected) ... -0.40 eV/atom

Lattice parameters (Å, degrees): 3.343 7.430 7.425 120.02 90.00 90.00
Fractional positions:
In  0.000  0.333  0.667
In  0.000  0.667  0.333
Te  0.500  0.000  0.000
Pd  0.500  0.619  0.000
Pd  0.500  0.381  0.381
Pd  0.500  0.000  0.619
Pd  0.000  0.283  0.000
Pd  0.000  0.717  0.717
Pd  0.000  0.000  0.283



[5]
Ce4Hg2Ge after structural relaxation, computed with PBE-GGA.

Energy of formation from the pure elements ... -305 meV per atom
Crystal system ... orthorhombic
Space group ... Cmmm (65)
Energy relative to the lowest polymorph listed for this composition ... 0 meV/atom

Lattice parameters (Å, degrees): 3.517 4.654 11.323 101.86 90.00 90.00
Site moments in Bohr magnetons follow the coordinates.
Fractional positions:
Ce  0.500  0.939  0.878  0.39
Ce  0.000  0.651  0.302  0.75
Ce  0.500  0.061  0.122  0.39
Ce  0.000  0.349  0.698  0.75
Hg  0.500  0.210  0.420  0.00
Hg  0.500  0.790  0.580  0.00
Ge  0.000  0.500  0.000  -0.01



[6]
Rb2CaIBr6 after structural relaxation, computed with PBE-GGA.

Crystal system ... tetragonal
Space group ... I4/mmm (139)
E_form (uncorrected) ... -1.16 eV/atom

Lattice parameters (Å, degrees): 8.824 8.824 8.390 58.28 58.28 90.00
Site moments in Bohr magnetons follow the coordinates.
Fractional positions:
I  0.000  0.000  0.000  0.31
Ca  0.500  0.500  0.000  0.01
Br  0.236  0.236  0.527  0.03
Br  0.764  0.764  0.473  0.03
Br  0.274  0.274  0.000  0.09
Br  0.726  0.726  0.000  0.09
Br  0.726  0.274  0.000  0.09
Br  0.274  0.726  0.000  0.09
Rb  0.750  0.250  0.500  0.00
Rb  0.250  0.750  0.500  0.00



[7]
AcTb4S8 after structural relaxation, computed with PBE-GGA.

Crystal system ... trigonal
Space group ... R-3m (166)
E_form (uncorrected) ... -1.90 eV/atom

Lattice parameters (Å, degrees): 7.967 7.967 8.406 61.72 61.72 60.00
Fractional positions:
Ac  0.500  0.500  0.500
Tb  0.000  0.500  0.000
Tb  0.500  0.500  0.000
Tb  0.500  0.000  0.000
Tb  0.000  0.000  0.000
S  0.736  0.241  0.781
S  0.759  0.264  0.219
S  0.264  0.759  0.219
S  0.759  0.759  0.219
S  0.736  0.736  0.793
S  0.264  0.264  0.207
S  0.241  0.241  0.781
S  0.241  0.736  0.781



[8]
K2Al2I after structural relaxation, computed with PBE-GGA.

Crystal system ... tetragonal
Space group ... P4/mbm (127)
Energy relative to the lowest polymorph listed for this composition ... 0 meV/atom
E_form (uncorrected) ... 0.08 eV/atom

Lattice parameters (Å, degrees): 9.684 9.684 4.140 90.00 90.00 90.00
Site moments in Bohr magnetons follow the coordinates.
Fractional positions:
I  0.000  0.000  0.000  0.03
I  0.500  0.500  0.000  0.04
K  0.202  0.702  0.500  0.01
K  0.702  0.798  0.500  0.02
K  0.798  0.298  0.500  0.01
K  0.298  0.202  0.500  0.02
Al  0.409  0.909  0.000  0.07
Al  0.909  0.591  0.000  0.07
Al  0.591  0.091  0.000  0.07
Al  0.091  0.409  0.000  0.07